[1]
Density functional theory data (PBE-GGA) for a geometry-optimized KPuAgTe2 structure.

volume: 34.38 A^3/atom
uncorrected energy: -5.486 eV/atom

abc: 5.252 8.597 7.616
angles: 90.00 90.00 90.00
Space group Pmma (No. 51)
Symmetry-distinct sites (fractional):
K  0.250  0.000  0.232
Pu  0.250  0.500  0.115
Ag  0.000  0.500  0.500
Te  0.250  0.278  0.778

***

[2]
Density functional theory data (PBE-GGA) for a geometry-optimized Sm3Si4Ir2 structure.

volume: 19.76 A^3/atom
energy relative to the lowest polymorph listed for this composition: 0.0 meV/atom
uncorrected energy: -6.860 eV/atom

abc: 11.108 4.165 8.133
angles: 90.00 109.04 90.00
Space group C2/m (No. 12)
Symmetry-distinct sites (fractional):
Sm  0.000  0.000  0.000
Sm  0.112  0.500  0.696
Si  0.103  0.000  0.401
Si  0.220  0.500  0.076
Ir  0.193  0.500  0.360